(1)
K3NiAg2F9 | PBE+U | relaxed

Structure (POSCAR):
```
K3NiAg2F9
1.0
-5.406 -0.801 -2.605
3.624 -4.751 0.975
-3.084 -0.977 6.700
K Ni Ag F
3 1 2 9
direct
0.333 0.667 0.662
0.000 0.000 0.000
0.667 0.333 0.338
0.000 0.000 0.500
0.333 0.667 0.176
0.667 0.333 0.824
0.843 0.157 0.655
0.843 0.687 0.655
0.313 0.157 0.655
0.687 0.843 0.345
0.157 0.313 0.345
0.157 0.843 0.345
0.500 0.000 0.000
0.000 0.500 0.000
0.500 0.500 0.000
```

Summary:
Magnetization in μB/f.u.: 1.17
D(E_F) in states/eV/f.u.: 5.10
SG: P-3m1, No. 164
Electronic total energy in Ha/atom: -0.1449

***

(2)
K4NiAg3F12 | PBE+U | relaxed

Structure (POSCAR):
```
K4NiAg3F12
1.0
7.477 0.000 0.000
-2.492 7.049 0.000
-2.492 -3.525 6.105
K Ni Ag F
4 1 3 12
direct
0.500 0.500 0.500
0.000 0.000 0.500
0.500 0.000 0.000
0.000 0.500 0.000
0.000 0.000 0.000
0.500 0.000 0.500
0.500 0.500 0.000
0.000 0.500 0.500
0.250 0.500 0.750
0.767 0.000 0.767
0.233 0.000 0.233
0.750 0.500 0.250
0.767 0.767 0.000
0.233 0.233 0.000
0.750 0.250 0.500
0.250 0.750 0.500
0.500 0.250 0.750
0.000 0.767 0.767
0.500 0.750 0.250
0.000 0.233 0.233
```

Summary:
Magnetization in μB/f.u.: 1.35
D(E_F) in states/eV/f.u.: 4.63
SG: Im-3m, No. 229
Electronic total energy in Ha/atom: -0.1433

***

(3)
K4Ni3AgF12 | PBE+U | relaxed

Structure (POSCAR):
```
K4Ni3AgF12
1.0
7.196 0.000 0.000
-2.399 6.784 0.000
-2.399 -3.392 5.875
K Ni Ag F
4 3 1 12
direct
0.500 0.500 0.500
0.000 0.000 0.500
0.500 0.000 0.000
0.000 0.500 0.000
0.500 0.000 0.500
0.500 0.500 0.000
0.000 0.500 0.500
0.000 0.000 0.000
0.250 0.500 0.750
0.734 0.000 0.734
0.266 0.000 0.266
0.750 0.500 0.250
0.734 0.734 0.000
0.266 0.266 0.000
0.750 0.250 0.500
0.250 0.750 0.500
0.500 0.250 0.750
0.000 0.734 0.734
0.500 0.750 0.250
0.000 0.266 0.266
```

Summary:
Magnetization in μB/f.u.: 5.00
D(E_F) in states/eV/f.u.: 4.52
SG: Im-3m, No. 229
Electronic total energy in Ha/atom: -0.1532

***

(4)
KNiAgF6 | PBE+U | relaxed

Structure (POSCAR):
```
KNiAgF6
1.0
-2.352 4.010 -3.510
-2.787 -1.437 -4.614
-4.752 -0.089 2.788
K Ni Ag F
1 1 1 6
direct
0.008 0.984 0.000
0.672 0.656 0.500
0.335 0.331 0.500
0.932 0.401 0.285
0.390 0.966 0.696
0.667 0.401 0.716
0.967 0.648 0.680
0.385 0.648 0.320
0.644 0.966 0.303
```

Summary:
Magnetization in μB/f.u.: 4.04
SG: C2, No. 5
Electronic total energy in Ha/atom: -0.1382

***

Copy entry 3 word for word.
K4Ni3AgF12 | PBE+U | relaxed

Structure (POSCAR):
```
K4Ni3AgF12
1.0
7.196 0.000 0.000
-2.399 6.784 0.000
-2.399 -3.392 5.875
K Ni Ag F
4 3 1 12
direct
0.500 0.500 0.500
0.000 0.000 0.500
0.500 0.000 0.000
0.000 0.500 0.000
0.500 0.000 0.500
0.500 0.500 0.000
0.000 0.500 0.500
0.000 0.000 0.000
0.250 0.500 0.750
0.734 0.000 0.734
0.266 0.000 0.266
0.750 0.500 0.250
0.734 0.734 0.000
0.266 0.266 0.000
0.750 0.250 0.500
0.250 0.750 0.500
0.500 0.250 0.750
0.000 0.734 0.734
0.500 0.750 0.250
0.000 0.266 0.266
```

Summary:
Magnetization in μB/f.u.: 5.00
D(E_F) in states/eV/f.u.: 4.52
SG: Im-3m, No. 229
Electronic total energy in Ha/atom: -0.1532